Here is an optimized crystal structure of HfScFe2O6 from Alexandria. Energies are from GGA+U.

Computed properties:
For the density, the calculation gives 6.14 g/cm³. As for the total energy: -8.29 eV/atom. As for the total magnetization: 9.000 μB/f.u.

abc: 5.657 5.657 5.657
angles: 56.12 56.12 56.12
Fractional positions:
1 Hf 0.000 0.000 0.000
2 Sc 0.497 0.497 0.497
3 Fe 0.284 0.284 0.284
4 Fe 0.792 0.792 0.792
5 O 0.078 0.402 0.711
6 O 0.192 0.885 0.609
7 O 0.402 0.711 0.078
8 O 0.609 0.192 0.885
9 O 0.711 0.078 0.402
10 O 0.885 0.609 0.192